# Li2RuAu PBE optimized geometry
data_Li2RuAu
_chemical_formula_sum 'Li4 Ru2 Au2'
_cell_length_a 3.819
_cell_length_b 3.819
_cell_length_c 8.125
_cell_angle_alpha 90.00
_cell_angle_beta 90.00
_cell_angle_gamma 90.00
_symmetry_space_group_name_H-M 'I 4/m m m'
_symmetry_Int_Tables_number 139
_symmetry_space_group_name_Hall '-I 4 2'
loop_
_atom_site_label
_atom_site_type_symbol
_atom_site_fract_x
_atom_site_fract_y
_atom_site_fract_z
Li1 Li 0.000 0.500 0.250
Ru1 Ru 0.000 0.000 0.000
Au1 Au 0.000 0.000 0.500
# - E above lowest polymorph (meV per atom) = 176
# - energy of formation from the pure elements (eV per atom) = 0.11
# - total moment (Bohr magnetons per cell) = 1.50



# LiRu2Au PBE optimized geometry
data_LiRu2Au
_chemical_formula_sum 'Li2 Ru4 Au2'
_cell_length_a 2.759
_cell_length_b 4.620
_cell_length_c 9.543
_cell_angle_alpha 90.00
_cell_angle_beta 90.00
_cell_angle_gamma 90.00
_symmetry_space_group_name_H-M 'C m m m'
_symmetry_Int_Tables_number 65
_symmetry_space_group_name_Hall '-C 2 2'
loop_
_atom_site_label
_atom_site_type_symbol
_atom_site_fract_x
_atom_site_fract_y
_atom_site_fract_z
Li1 Li 0.000 0.000 0.000
Ru1 Ru 0.000 0.500 0.239
Au1 Au 0.000 0.000 0.500
# - E above lowest polymorph (meV per atom) = 393
# - energy of formation from the pure elements (eV per atom) = 0.45
# - total moment (Bohr magnetons per cell) = 1.24



# Li2RuAu PBE optimized geometry
data_Li2RuAu
_chemical_formula_sum 'Li8 Ru4 Au4'
_cell_length_a 5.985
_cell_length_b 5.985
_cell_length_c 5.985
_cell_angle_alpha 90.00
_cell_angle_beta 90.00
_cell_angle_gamma 90.00
_symmetry_space_group_name_H-M 'F m -3 m'
_symmetry_Int_Tables_number 225
_symmetry_space_group_name_Hall '-F 4 2 3'
loop_
_atom_site_label
_atom_site_type_symbol
_atom_site_fract_x
_atom_site_fract_y
_atom_site_fract_z
Li1 Li 0.250 0.250 0.250
Ru1 Ru 0.000 0.000 0.000
Au1 Au 0.000 0.000 0.500
# - E above lowest polymorph (meV per atom) = 183
# - energy of formation from the pure elements (eV per atom) = 0.12
# - total moment (Bohr magnetons per cell) = 0.00



# LiRu2Au PBE optimized geometry
data_LiRu2Au
_chemical_formula_sum 'Li1 Ru2 Au1'
_cell_length_a 3.645
_cell_length_b 3.645
_cell_length_c 4.346
_cell_angle_alpha 90.00
_cell_angle_beta 90.00
_cell_angle_gamma 90.00
_symmetry_space_group_name_H-M 'P 4/m m m'
_symmetry_Int_Tables_number 123
_symmetry_space_group_name_Hall '-P 4 2'
loop_
_atom_site_label
_atom_site_type_symbol
_atom_site_fract_x
_atom_site_fract_y
_atom_site_fract_z
Li1 Li 0.000 0.000 0.000
Ru1 Ru 0.000 0.500 0.500
Au1 Au 0.500 0.500 0.000
# - E above lowest polymorph (meV per atom) = 165
# - energy of formation from the pure elements (eV per atom) = 0.22
# - total moment (Bohr magnetons per cell) = 0.00



# Li2RuAu PBE optimized geometry
data_Li2RuAu
_chemical_formula_sum 'Li2 Ru1 Au1'
_cell_length_a 2.755
_cell_length_b 2.755
_cell_length_c 8.235
_cell_angle_alpha 90.00
_cell_angle_beta 90.00
_cell_angle_gamma 90.00
_symmetry_space_group_name_H-M 'P 4 m m'
_symmetry_Int_Tables_number 99
loop_
_symmetry_equiv_pos_as_xyz
'x,y,z'
'-y,x,z'
'-x,-y,z'
'y,-x,z'
'-x,y,z'
'y,x,z'
'x,-y,z'
'-y,-x,z'
loop_
_atom_site_label
_atom_site_type_symbol
_atom_site_fract_x
_atom_site_fract_y
_atom_site_fract_z
Li1 Li 0.000 0.000 0.000
Li2 Li 0.500 0.500 0.287
Ru1 Ru 0.000 0.000 0.512
Au1 Au 0.500 0.500 0.775
# - E above lowest polymorph (meV per atom) = 169
# - energy of formation from the pure elements (eV per atom) = 0.10
# - total moment (Bohr magnetons per cell) = 1.38



# LiRuAu2 PBE optimized geometry
data_LiRuAu2
_chemical_formula_sum 'Li2 Ru2 Au4'
_cell_length_a 2.875
_cell_length_b 4.680
_cell_length_c 9.603
_cell_angle_alpha 90.00
_cell_angle_beta 90.00
_cell_angle_gamma 90.00
_symmetry_space_group_name_H-M 'C m m 2'
_symmetry_Int_Tables_number 35
loop_
_symmetry_equiv_pos_as_xyz
'x,y,z'
'-x,-y,z'
'-x,y,z'
'x,-y,z'
'x+1/2,y+1/2,z'
'-x+1/2,-y+1/2,z'
'-x+1/2,y+1/2,z'
'x+1/2,-y+1/2,z'
loop_
_atom_site_label
_atom_site_type_symbol
_atom_site_fract_x
_atom_site_fract_y
_atom_site_fract_z
Li1 Li 0.000 0.000 0.000
Ru1 Ru 0.000 0.500 0.230
Au1 Au 0.000 0.000 0.485
Au2 Au 0.000 0.500 0.765
# - E above lowest polymorph (meV per atom) = 230
# - energy of formation from the pure elements (eV per atom) = 0.15
# - total moment (Bohr magnetons per cell) = 0.00



# LiRu2Au PBE optimized geometry
data_LiRu2Au
_chemical_formula_sum 'Li2 Ru4 Au2'
_cell_length_a 3.654
_cell_length_b 3.654
_cell_length_c 8.677
_cell_angle_alpha 90.00
_cell_angle_beta 90.00
_cell_angle_gamma 90.00
_symmetry_space_group_name_H-M 'I 4/m m m'
_symmetry_Int_Tables_number 139
_symmetry_space_group_name_Hall '-I 4 2'
loop_
_atom_site_label
_atom_site_type_symbol
_atom_site_fract_x
_atom_site_fract_y
_atom_site_fract_z
Li1 Li 0.000 0.000 0.000
Ru1 Ru 0.000 0.500 0.250
Au1 Au 0.000 0.000 0.500
# - E above lowest polymorph (meV per atom) = 202
# - energy of formation from the pure elements (eV per atom) = 0.26
# - total moment (Bohr magnetons per cell) = 0.00



# LiRu2Au PBE optimized geometry
data_LiRu2Au
_chemical_formula_sum 'Li3 Ru6 Au3'
_cell_length_a 2.7258
_cell_length_b 2.7258
_cell_length_c 28.1376
_cell_angle_alpha 90.00
_cell_angle_beta 90.00
_cell_angle_gamma 120.00
_symmetry_space_group_name_H-M 'R -3 m'
_symmetry_Int_Tables_number 166
_symmetry_space_group_name_Hall '-R 3 2"'
loop_
_atom_site_label
_atom_site_type_symbol
_atom_site_fract_x
_atom_site_fract_y
_atom_site_fract_z
Li1 Li 0.0000 0.0000 0.0000
Ru1 Ru 0.0000 0.0000 0.2527
Au1 Au 0.0000 0.0000 0.5000
# - E above lowest polymorph (meV per atom) = 357
# - energy of formation from the pure elements (eV per atom) = 0.41
# - total moment (Bohr magnetons per cell) = 2.94



# LiRuAu2 PBE optimized geometry
data_LiRuAu2
_chemical_formula_sum 'Li1 Ru1 Au2'
_cell_length_a 2.756
_cell_length_b 4.765
_cell_length_c 4.827
_cell_angle_alpha 90.00
_cell_angle_beta 90.00
_cell_angle_gamma 90.00
_symmetry_space_group_name_H-M 'P m m 2'
_symmetry_Int_Tables_number 25
loop_
_symmetry_equiv_pos_as_xyz
'x,y,z'
'-x,-y,z'
'-x,y,z'
'x,-y,z'
loop_
_atom_site_label
_atom_site_type_symbol
_atom_site_fract_x
_atom_site_fract_y
_atom_site_fract_z
Li1 Li 0.000 0.000 0.000
Ru1 Ru 0.000 0.500 0.567
Au1 Au 0.500 0.000 0.509
Au2 Au 0.500 0.500 0.068
# - E above lowest polymorph (meV per atom) = 14
# - energy of formation from the pure elements (eV per atom) = -0.07
# - total moment (Bohr magnetons per cell) = 0.02



# LiRuAu PBE optimized geometry
data_LiRuAu
_chemical_formula_sum 'Li1 Ru1 Au1'
_cell_length_a 2.7395
_cell_length_b 2.7395
_cell_length_c 7.0242
_cell_angle_alpha 90.00
_cell_angle_beta 90.00
_cell_angle_gamma 120.00
_symmetry_space_group_name_H-M 'P 3 m 1'
_symmetry_Int_Tables_number 156
loop_
_symmetry_equiv_pos_as_xyz
'x,y,z'
'-y,x-y,z'
'-x+y,-x,z'
'-y,-x,z'
'-x+y,y,z'
'x,x-y,z'
loop_
_atom_site_label
_atom_site_type_symbol
_atom_site_fract_x
_atom_site_fract_y
_atom_site_fract_z
Li1 Li 0.0000 0.0000 0.0000
Ru1 Ru 0.3333 0.6667 0.3173
Au1 Au 0.6667 0.3333 0.6755
# - E above lowest polymorph (meV per atom) = 0
# - energy of formation from the pure elements (eV per atom) = 0.15
# - total moment (Bohr magnetons per cell) = 0.00



# Li2RuAu PBE optimized geometry
data_Li2RuAu
_chemical_formula_sum 'Li4 Ru2 Au2'
_cell_length_a 2.682
_cell_length_b 4.532
_cell_length_c 9.425
_cell_angle_alpha 90.00
_cell_angle_beta 90.00
_cell_angle_gamma 90.00
_symmetry_space_group_name_H-M 'I m m 2'
_symmetry_Int_Tables_number 44
loop_
_symmetry_equiv_pos_as_xyz
'x,y,z'
'-x,-y,z'
'-x,y,z'
'x,-y,z'
'x+1/2,y+1/2,z+1/2'
'-x+1/2,-y+1/2,z+1/2'
'-x+1/2,y+1/2,z+1/2'
'x+1/2,-y+1/2,z+1/2'
loop_
_atom_site_label
_atom_site_type_symbol
_atom_site_fract_x
_atom_site_fract_y
_atom_site_fract_z
Li1 Li 0.000 0.000 0.000
Li2 Li 0.000 0.500 0.251
Ru1 Ru 0.000 0.500 0.754
Au1 Au 0.000 0.000 0.511
# - E above lowest polymorph (meV per atom) = 121
# - energy of formation from the pure elements (eV per atom) = 0.05
# - total moment (Bohr magnetons per cell) = 0.00



# LiRu2Au PBE optimized geometry
data_LiRu2Au
_chemical_formula_sum 'Li2 Ru4 Au2'
_cell_length_a 3.962
_cell_length_b 3.962
_cell_length_c 7.312
_cell_angle_alpha 90.00
_cell_angle_beta 90.00
_cell_angle_gamma 90.00
_symmetry_space_group_name_H-M 'I -4 m 2'
_symmetry_Int_Tables_number 119
_symmetry_space_group_name_Hall 'I -4 -2'
loop_
_atom_site_label
_atom_site_type_symbol
_atom_site_fract_x
_atom_site_fract_y
_atom_site_fract_z
Li1 Li 0.000 0.000 0.000
Ru1 Ru 0.000 0.000 0.500
Ru2 Ru 0.000 0.500 0.250
Au1 Au 0.000 0.500 0.750
# - E above lowest polymorph (meV per atom) = 142
# - energy of formation from the pure elements (eV per atom) = 0.20
# - total moment (Bohr magnetons per cell) = 0.00



# LiSnRuAu PBE optimized geometry
data_LiSnRuAu
_chemical_formula_sum 'Li4 Sn4 Ru4 Au4'
_cell_length_a 6.407
_cell_length_b 6.407
_cell_length_c 6.407
_cell_angle_alpha 90.00
_cell_angle_beta 90.00
_cell_angle_gamma 90.00
_symmetry_space_group_name_H-M 'F -4 3 m'
_symmetry_Int_Tables_number 216
_symmetry_space_group_name_Hall 'F -4 2 3'
loop_
_atom_site_label
_atom_site_type_symbol
_atom_site_fract_x
_atom_site_fract_y
_atom_site_fract_z
Li1 Li 0.000 0.000 0.000
Sn1 Sn 0.250 0.250 0.250
Ru1 Ru 0.000 0.000 0.500
Au1 Au 0.250 0.250 0.750
# - energy of formation from the pure elements (eV per atom) = -0.17
# - total moment (Bohr magnetons per cell) = 0.00